Entry 1:
Ho5S7: optimized geometry, GGA-PBEsol.

Summary:
ΔE_f (raw)   -2130 meV/atom
Raw total energy   -6.750 eV/atom
DOS at the Fermi energy   0.114 states/eV/atom
SG   C2/m (12)

Cell and atoms, written as extended XYZ:
```
12
Lattice="3.739 0.000 0.000 -1.870 6.300 -0.004 0.000 -2.876 11.024" Properties=species:S:1:pos:R:3 pbc="T T T"
Ho 0.000 0.204 4.646
Ho 0.000 0.000 0.000
Ho 1.870 3.220 6.374
Ho 1.870 0.184 8.944
Ho 0.000 3.240 2.076
S 0.000 1.401 7.149
S 1.870 5.166 2.372
S 0.000 -1.742 8.648
S 1.870 2.024 3.871
S 1.870 1.868 0.558
S 1.870 -1.438 5.512
S 0.000 1.557 10.462
```

***

Entry 2:
SrHo2S4: optimized geometry, GGA-PBEsol.

Summary:
ΔE_f (raw)   -2173 meV/atom
Raw total energy   -6.356 eV/atom
DOS at the Fermi energy   0.000 states/eV/atom
SG   Pnma (62)

Cell and atoms, written as extended XYZ:
```
28
Lattice="-1.262 2.517 -2.744 7.313 -4.866 -7.826 -10.101 -9.153 -3.749" Properties=species:S:1:pos:R:3 pbc="T T T"
S -2.536 -6.263 -8.802
S -9.626 -6.941 -6.163
S -5.641 -5.710 -6.867
S 1.590 -5.792 -7.452
S 0.093 -7.141 -10.817
S 4.055 -2.679 -5.730
S -4.143 -4.361 -3.503
S -1.514 -5.239 -5.517
S 5.575 -4.561 -8.156
S -8.105 -8.823 -8.589
S 3.357 -5.475 -10.790
S -3.492 -9.509 -11.340
S -7.407 -6.027 -3.529
S -4.426 -9.072 -7.693
S -0.558 -1.993 -2.979
S 0.376 -2.430 -6.626
Ho -0.721 -4.474 -7.996
Ho -3.329 -7.028 -6.323
Ho -6.443 -3.999 -4.929
Ho -2.528 -12.048 -11.295
Ho -5.792 -9.156 -9.958
Ho 1.742 -2.346 -4.361
Ho 2.393 -7.503 -9.390
Ho -1.523 0.546 -3.024
Sr 2.855 -3.212 -8.484
Sr -6.906 -8.290 -5.836
Sr -2.581 -2.392 -5.231
Sr -1.469 -9.110 -9.088
```

***

Entry 3:
Ho2TeS2: optimized geometry, GGA-PBEsol.

Summary:
ΔE_f (raw)   -1861 meV/atom
Raw total energy   -6.300 eV/atom
DOS at the Fermi energy   0.000 states/eV/atom
SG   Immm (71)

Cell and atoms, written as extended XYZ:
```
5
Lattice="4.093 0.000 0.000 0.000 5.288 0.000 -2.046 -2.644 6.604" Properties=species:S:1:pos:R:3 pbc="T T T"
Ho 2.046 0.000 2.217
Ho 0.000 2.644 4.387
S 2.046 2.644 2.650
S 0.000 0.000 3.954
Te 0.000 0.000 0.000
```

***

Entry 4:
Ho10Te7S10: optimized geometry, GGA-PBEsol.

Summary:
ΔE_f (raw)   -1752 meV/atom
Raw total energy   -6.123 eV/atom
SG   P1 (1)

Cell and atoms, written as extended XYZ:
```
27
Lattice="-6.641 -3.418 -0.259 6.446 -4.660 -5.074 4.452 -3.830 9.610" Properties=species:S:1:pos:R:3 pbc="T T T"
S 4.693 -5.306 1.251
S 1.352 -6.521 8.084
S 6.562 -5.363 6.107
S -0.307 -6.529 3.123
S -1.033 -4.715 6.112
S 2.974 -5.516 -3.701
S 7.051 -7.179 3.171
S 5.185 -7.122 -1.686
S -2.692 -4.722 1.151
S -2.321 -6.558 -1.748
Ho 3.168 -5.448 -1.000
Ho -4.372 -5.004 -1.019
Ho -0.741 -6.329 0.433
Ho 5.164 -5.455 3.867
Ho 6.581 -7.029 0.555
Ho 8.578 -7.038 5.419
Ho 5.847 -9.576 3.728
Ho -1.420 -2.409 0.644
Ho -2.305 -4.854 3.767
Ho 0.964 -6.389 5.469
Te 0.328 -8.044 -3.928
Te 3.638 -7.880 5.041
Te 0.326 -4.030 -1.523
Te 3.965 -3.809 8.337
Te 1.469 -8.025 -0.874
Te 1.334 -4.016 1.155
Te 2.657 -3.912 4.769
```

***

Entry 5:
HoTlS2: optimized geometry, GGA-PBEsol.

Summary:
ΔE_f (raw)   -1493 meV/atom
Raw total energy   -5.580 eV/atom
DOS at the Fermi energy   0.000 states/eV/atom
SG   R-3m (166)

Cell and atoms, written as extended XYZ:
```
4
Lattice="-1.588 0.898 -3.483 1.692 -1.264 -3.316 -4.027 -6.263 -1.998" Properties=species:S:1:pos:R:3 pbc="T T T"
Ho 0.000 0.000 0.000
S -0.781 -1.355 -2.212
S -3.141 -5.274 -6.585
Tl -1.961 -3.315 -4.399
```

***

Entry 6:
Ho2ZnS4: optimized geometry, GGA-PBEsol.

Summary:
ΔE_f (raw)   -1712 meV/atom
Raw total energy   -5.857 eV/atom
DOS at the Fermi energy   0.000 states/eV/atom
SG   Pnma (62)

Cell and atoms, written as extended XYZ:
```
28
Lattice="6.228 0.000 0.000 0.000 7.771 0.000 0.000 0.000 13.294" Properties=species:S:1:pos:R:3 pbc="T T T"
Ho 3.149 1.943 3.122
Ho 6.193 1.943 9.769
Ho 0.000 0.000 0.000
Ho 3.114 3.885 6.647
Ho 3.114 0.000 6.647
Ho 3.079 5.828 10.172
Ho 0.000 3.885 0.000
Ho 0.035 5.828 3.525
Zn 2.538 1.943 12.075
Zn 5.652 5.828 7.865
Zn 0.576 1.943 5.428
Zn 3.690 5.828 1.219
S 1.513 3.783 11.047
S 4.634 5.828 12.353
S 4.715 3.987 2.246
S 4.810 1.943 12.099
S 4.715 7.668 2.246
S 4.708 5.828 5.706
S 1.418 5.828 1.195
S 1.601 3.783 4.401
S 1.696 5.828 7.842
S 1.520 1.943 7.588
S 4.627 7.668 8.893
S 1.601 0.102 4.401
S 4.627 3.987 8.893
S 1.513 0.102 11.047
S 1.594 1.943 0.941
S 4.532 1.943 5.452
```

***

Entry 7:
Ho2ZrS5: optimized geometry, GGA-PBEsol.

Summary:
ΔE_f (raw)   -1960 meV/atom
Raw total energy   -7.074 eV/atom
SG   Pnma (62)

Cell and atoms, written as extended XYZ:
```
32
Lattice="-6.579 -0.006 -2.757 2.092 -5.378 -4.979 -3.096 -8.060 7.405" Properties=species:S:1:pos:R:3 pbc="T T T"
S -5.149 -12.461 0.094
S -1.554 -3.244 -2.518
S -5.999 -9.535 -0.971
S -6.029 -10.200 2.187
S -1.584 -3.909 0.640
S -2.827 -5.012 3.762
S -2.962 -8.086 -1.261
S -4.756 -8.432 -4.092
S -4.682 -3.042 -1.598
S -2.900 -10.403 1.268
S -1.947 -7.273 1.669
S -4.176 -7.940 3.905
S -8.830 -9.392 3.518
S -3.406 -5.504 -4.236
S -4.621 -5.359 0.930
S -2.433 -0.983 -0.425
S -5.635 -6.172 -1.999
S 1.248 -4.053 -3.848
S -0.594 -6.372 -2.117
S -6.988 -7.073 1.787
Zr -6.365 -9.352 4.510
Zr -1.217 -4.093 -4.841
Zr -0.525 -8.120 -0.200
Zr -7.057 -5.324 -0.131
Ho -0.603 -11.980 1.053
Ho -5.945 -4.123 -3.845
Ho -2.049 -7.953 -3.904
Ho -5.533 -5.491 3.574
Ho -3.084 -5.295 -1.443
Ho -6.979 -1.464 -1.384
Ho -1.638 -9.322 3.515
Ho -4.499 -8.150 1.112
```

***

Entry 8:
Ho4Sb3: optimized geometry, GGA-PBEsol.

Summary:
ΔE_f (raw)   -1023 meV/atom
Raw total energy   -5.804 eV/atom
DOS at the Fermi energy   0.894 states/eV/atom
SG   I-43d (220)

Cell and atoms, written as extended XYZ:
```
14
Lattice="7.804 0.000 0.000 -2.601 7.358 0.000 -2.601 -3.679 6.372" Properties=species:S:1:pos:R:3 pbc="T T T"
Ho -2.222 2.376 2.257
Ho 1.680 0.767 3.186
Ho 2.764 0.000 0.000
Ho 0.379 4.446 3.186
Ho -0.921 -1.303 4.115
Ho -3.523 0.536 5.443
Ho 6.666 0.000 0.000
Ho 2.981 4.215 0.929
Sb -0.650 1.839 4.779
Sb 3.252 3.219 3.983
Sb 0.650 2.299 0.797
Sb -1.951 5.518 1.593
Sb 4.552 -0.460 2.390
Sb 1.951 -1.380 5.576
```

***

Entry 9:
Ho2Sb5: optimized geometry, GGA-PBEsol.

Summary:
ΔE_f (raw)   -673 meV/atom
Raw total energy   -5.342 eV/atom
DOS at the Fermi energy   0.275 states/eV/atom
SG   P2_1/m (11)

Cell and atoms, written as extended XYZ:
```
28
Lattice="4.136 0.000 0.000 0.000 12.963 0.025 0.000 -2.958 14.068" Properties=species:S:1:pos:R:3 pbc="T T T"
Sb 3.102 -0.198 9.559
Sb 3.102 8.835 10.956
Sb 3.102 0.151 1.176
Sb 1.034 0.349 7.289
Sb 3.102 9.656 6.803
Sb 1.034 3.349 10.343
Sb 3.102 3.385 0.906
Sb 3.102 4.630 13.745
Sb 1.034 10.203 4.533
Sb 1.034 9.854 12.916
Sb 1.034 7.382 9.222
Sb 1.034 -0.490 11.709
Sb 3.102 2.622 4.870
Sb 1.034 1.169 3.136
Sb 3.102 10.495 2.383
Sb 1.034 4.202 6.333
Sb 3.102 5.803 7.759
Sb 1.034 6.620 13.186
Sb 1.034 5.375 0.347
Sb 3.102 6.655 3.750
Ho 1.034 10.481 8.999
Ho 1.034 4.392 3.235
Ho 3.102 5.612 10.857
Ho 3.102 2.599 8.138
Ho 3.102 1.856 12.043
Ho 1.034 8.149 2.049
Ho 3.102 -0.476 5.093
Ho 1.034 7.405 5.955
```

***

Entry 10:
Ho3Sc: optimized geometry, GGA-PBEsol.

Summary:
Raw total energy   -5.348 eV/atom
DOS at the Fermi energy   1.645 states/eV/atom
SG   P6_3/mmc (194)
Energy of formation   0.02 eV per atom

Cell and atoms, written as extended XYZ:
```
8
Lattice="-2.488 -1.775 -4.438 2.037 -6.463 1.443 -6.040 2.356 2.444" Properties=species:S:1:pos:R:3 pbc="T T T"
Ho -5.297 0.422 1.166
Ho -4.293 -2.765 1.877
Ho -1.194 -6.304 -1.716
Ho -4.172 -5.143 -0.511
Ho -2.198 -3.117 -2.428
Ho -2.319 -0.740 -0.040
Sc -5.214 -1.915 -1.218
Sc -1.277 -3.967 0.667
```

***

Entry 11:
HoScZn2: optimized geometry, GGA-PBEsol.

Summary:
Raw total energy   -4.036 eV/atom
DOS at the Fermi energy   1.048 states/eV/atom
SG   Fm-3m (225)
Energy of formation   -0.36 eV per atom

Cell and atoms, written as extended XYZ:
```
4
Lattice="-2.259 -2.596 3.352 -1.534 -4.435 -1.026 2.176 -3.808 1.961" Properties=species:S:1:pos:R:3 pbc="T T T"
Ho -0.808 -5.419 2.143
Zn -0.404 -2.710 1.072
Zn -1.213 -8.129 3.215
Sc 0.000 0.000 0.000
```

***

Entry 12:
Ho2Se3: optimized geometry, GGA-PBEsol.

Summary:
ΔE_f (raw)   -1874 meV/atom
Raw total energy   -6.164 eV/atom
SG   Fddd (70)

Cell and atoms, written as extended XYZ:
```
20
Lattice="8.059 0.000 0.000 4.030 5.649 0.000 4.030 0.000 12.023" Properties=species:S:1:pos:R:3 pbc="T T T"
Se 5.996 0.016 4.048
Se 4.078 2.808 1.963
Se 2.053 0.000 0.000
Se 14.055 5.633 7.975
Se 6.093 5.633 4.048
Se 8.021 2.825 6.011
Se 12.138 2.841 10.060
Se 8.011 2.808 10.060
Se 6.006 0.000 0.000
Se 6.093 0.016 7.975
Se 8.011 2.841 1.963
Se 4.068 2.825 6.011
Ho 10.074 2.825 0.058
Ho 8.059 0.000 5.954
Ho 8.059 0.000 10.005
Ho 4.030 0.000 2.018
Ho 4.030 0.000 6.069
Ho 6.044 2.825 8.029
Ho 10.074 2.825 11.965
Ho 6.044 2.825 3.994
```

***

Entry 13:
HoTlSe2: optimized geometry, GGA-PBEsol.

Summary:
ΔE_f (raw)   -1354 meV/atom
Raw total energy   -5.174 eV/atom
SG   R-3m (166)

Cell and atoms, written as extended XYZ:
```
4
Lattice="4.079 0.000 0.000 2.039 3.533 0.000 2.039 1.178 7.612" Properties=species:S:1:pos:R:3 pbc="T T T"
Se 2.039 1.178 1.579
Se 6.118 3.533 6.033
Tl 4.079 2.355 3.806
Ho 0.000 0.000 0.000
```

***

Entry 14:
Ho5Si4: optimized geometry, GGA-PBEsol.

Summary:
ΔE_f (raw)   -798 meV/atom
Raw total energy   -6.102 eV/atom
DOS at the Fermi energy   0.933 states/eV/atom
SG   Pnma (62)

Cell and atoms, written as extended XYZ:
```
36
Lattice="7.303 0.000 0.000 0.000 7.567 0.000 0.000 0.000 14.319" Properties=species:S:1:pos:R:3 pbc="T T T"
Si 4.733 0.218 7.732
Si 1.082 3.565 13.747
Si 6.221 4.002 6.587
Si 6.221 4.002 0.573
Si 1.082 3.565 7.732
Si 4.733 0.218 13.747
Si 0.162 0.777 10.739
Si 3.813 3.007 10.739
Si 2.570 7.349 0.573
Si 1.955 6.596 10.739
Si 7.141 6.790 3.580
Si 5.606 4.754 10.739
Si 5.348 0.971 3.580
Si 1.697 2.813 3.580
Si 3.490 4.560 3.580
Si 2.570 7.349 6.587
Ho 4.972 6.209 5.394
Ho 1.320 5.142 5.394
Ho 3.847 2.402 5.757
Ho 1.320 5.142 1.766
Ho 0.196 1.382 5.757
Ho 5.983 2.425 8.925
Ho 4.743 7.484 10.739
Ho 2.332 1.358 12.553
Ho 3.456 5.165 12.917
Ho 6.212 3.701 3.580
Ho 0.196 1.382 1.402
Ho 7.107 6.185 8.562
Ho 3.456 5.165 8.562
Ho 1.092 3.866 10.739
Ho 3.847 2.402 1.402
Ho 7.107 6.185 12.917
Ho 2.560 0.083 3.580
Ho 2.332 1.358 8.925
Ho 5.983 2.425 12.553
Ho 4.972 6.209 1.766
```

***

Entry 15:
Ho10Si17: optimized geometry, GGA-PBEsol.

Summary:
ΔE_f (raw)   -752 meV/atom
Raw total energy   -6.204 eV/atom
DOS at the Fermi energy   0.219 states/eV/atom
SG   Imm2 (44)

Cell and atoms, written as extended XYZ:
```
27
Lattice="-1.596 -2.336 5.929 7.682 1.156 2.524 -5.286 9.310 -1.394" Properties=species:S:1:pos:R:3 pbc="T T T"
Ho -0.256 6.715 4.256
Ho 5.423 0.313 3.331
Ho 0.662 3.217 3.170
Ho 0.978 6.142 0.768
Ho 0.320 0.337 5.537
Ho -4.064 6.142 3.005
Ho 4.474 3.791 4.422
Ho 4.128 0.911 6.789
Ho -2.834 5.569 -0.484
Ho 1.493 -0.279 2.040
Si 3.424 1.872 1.939
Si -1.333 4.838 1.842
Si 3.102 4.278 1.817
Si -0.602 2.095 0.871
Si -1.092 0.925 2.901
Si -2.746 6.078 5.576
Si -1.993 4.304 4.095
Si 2.288 5.516 3.727
Si -1.471 -2.154 5.466
Si -0.908 -1.329 3.374
Si -1.630 7.213 1.657
Si 2.004 3.103 5.697
Si 2.853 -0.868 4.931
Si 2.757 1.396 4.186
Si 1.311 5.902 6.526
Si 2.247 7.725 2.840
Si -1.899 2.012 4.859
```

***

Entry 16:
HoTiSi: optimized geometry, GGA-PBEsol.

Summary:
ΔE_f (raw)   -692 meV/atom
Raw total energy   -7.032 eV/atom
DOS at the Fermi energy   1.108 states/eV/atom
SG   P4/nmm (129)

Cell and atoms, written as extended XYZ:
```
6
Lattice="3.974 0.000 0.000 0.000 3.974 0.000 0.000 0.000 7.451" Properties=species:S:1:pos:R:3 pbc="T T T"
Ho 1.987 0.000 4.881
Ho 0.000 1.987 2.569
Si 1.987 0.000 1.788
Si 0.000 1.987 5.662
Ti 0.000 0.000 0.000
Ti 1.987 1.987 0.000
```